Tc2HgSe | PBE | optimized geometry

Unit cell a=4.590 b=4.590 c=4.590 alpha=60.00 beta=60.00 gamma=60.00
Fractional coordinates of all 4 atoms:
1 Hg 0.500 0.500 0.500
2 Tc 0.000 0.000 0.000
3 Se 0.250 0.250 0.250
4 Tc 0.750 0.750 0.750

Formation energy from raw total energies   0.7627 eV/atom
E above lowest polymorph   0.599 eV per atom
DOS at the Fermi energy   0.96 states/eV per atom
Symmetry   F-43m (216)